[1]
! RbAgOF2, relaxed, DFT GGA-PBE; values from VASP
&SYSTEM
  ibrav = 0, nat = 5, ntyp = 4
/
ATOMIC_SPECIES
Rb 85.47 Rb.upf
O 16.00 O.upf
Ag 107.87 Ag.upf
F 19.00 F.upf
CELL_PARAMETERS angstrom
4.5925 0.0000 0.0000
0.0000 4.5925 0.0000
0.0000 0.0000 4.0117
ATOMIC_POSITIONS angstrom
Rb 2.2963 2.2963 2.0058
O 0.0000 0.0000 2.0058
Ag 0.0000 0.0000 0.0000
F 0.0000 2.2963 0.0000
F 2.2963 0.0000 0.0000
! relative energy among the computed polymorphs	0.000	eV/atom
! size of the total moment	1.0	μB per cell
! ΔE_f (raw)	-1.288	eV per atom
! mass density	4.9	g/cm3

=====

[2]
! Rb8AgO2F, relaxed, DFT GGA-PBE; values from VASP
&SYSTEM
  ibrav = 0, nat = 12, ntyp = 4
/
ATOMIC_SPECIES
O 16.00 O.upf
Rb 85.47 Rb.upf
Ag 107.87 Ag.upf
F 19.00 F.upf
CELL_PARAMETERS angstrom
-5.4095 5.3120 -3.4593
-2.6942 -7.2302 3.1484
-1.3406 4.2631 8.6427
ATOMIC_POSITIONS angstrom
O -4.5640 0.0182 7.1651
O -4.8803 2.3266 1.1667
Rb -4.2323 -1.6922 9.0707
Rb -6.9543 0.9808 7.3300
Rb -6.5678 0.3989 0.8453
Rb -5.2280 3.4323 3.4082
Rb -5.2121 4.0371 -0.7389
Rb -2.8765 1.9460 7.4864
Rb -2.4901 1.3641 1.0018
Rb -4.2163 -1.0874 4.9236
Ag -0.6703 2.1315 4.3213
F 0.0000 0.0000 0.0000
! size of the total moment	0.0	μB per cell
! ΔE_f (raw)	-0.835	eV per atom
! mass density	2.4	g/cm3

=====

[3]
! ReAgOF2, relaxed, DFT GGA-PBE; values from VASP
&SYSTEM
  ibrav = 0, nat = 5, ntyp = 4
/
ATOMIC_SPECIES
F 19.00 F.upf
Re 186.21 Re.upf
O 16.00 O.upf
Ag 107.87 Ag.upf
CELL_PARAMETERS angstrom
-3.6804 1.4498 1.5828
-1.5908 -3.9517 -0.0794
1.4451 -0.6615 3.9661
ATOMIC_POSITIONS angstrom
F -0.7954 -1.9758 -0.0397
F -1.8402 0.7249 0.7914
Re -1.9131 -1.5817 2.7347
O 0.7225 -0.3307 1.9831
Ag 0.0000 0.0000 0.0000
! relative energy among the computed polymorphs	1.259	eV/atom
! size of the total moment	5.1	μB per cell
! ΔE_f (raw)	0.417	eV per atom
! mass density	7.5	g/cm3

=====

[4]
! ReAg5O4F2, relaxed, DFT GGA-PBE; values from VASP
&SYSTEM
  ibrav = 0, nat = 12, ntyp = 4
/
ATOMIC_SPECIES
Ag 107.87 Ag.upf
Re 186.21 Re.upf
O 16.00 O.upf
F 19.00 F.upf
CELL_PARAMETERS angstrom
-0.1780 -2.0176 -3.7196
-6.9477 -3.5753 4.6829
-3.9237 4.6016 -2.3082
ATOMIC_POSITIONS angstrom
Ag -3.6259 -1.0038 0.4210
Ag -5.1393 -2.9405 -0.8673
Ag -5.9321 1.7007 -0.9356
Ag -1.9658 2.2560 -1.2367
Ag -7.4454 -0.2359 -2.2239
Re -0.0716 -0.8115 -1.4960
O -1.1777 -1.0800 -0.1510
O -3.1514 2.2900 -4.1365
O -5.8286 -3.1590 3.6104
O -0.9971 -0.2364 -2.8692
F -7.2420 -2.2259 -1.2025
F -3.8329 0.9458 -0.6747
! size of the total moment	0.0	μB per cell
! ΔE_f (raw)	-0.828	eV per atom
! mass density	5.7	g/cm3

=====

[5]
! ReAg2O2F4, relaxed, DFT GGA-PBE; values from VASP
&SYSTEM
  ibrav = 0, nat = 9, ntyp = 4
/
ATOMIC_SPECIES
Re 186.21 Re.upf
F 19.00 F.upf
Ag 107.87 Ag.upf
O 16.00 O.upf
CELL_PARAMETERS angstrom
-3.0263 1.6232 3.7277
2.6025 -1.4026 5.0853
2.9689 4.1100 2.9824
ATOMIC_POSITIONS angstrom
Re -1.5132 0.8116 1.8638
F 1.3008 0.2969 5.1945
F 1.4855 3.0766 4.1341
F 1.0596 1.2540 7.6613
F 1.2444 4.0337 6.6009
Ag 3.2164 1.8642 5.4471
Ag -0.6713 2.4664 6.3483
O 0.2700 0.7609 2.0416
O 2.2751 3.5697 9.7538
! size of the total moment	1.0	μB per cell
! ΔE_f (raw)	-1.416	eV per atom
! mass density	5.9	g/cm3

=====

[6]
! ReAgOF2, relaxed, DFT GGA-PBE; values from VASP
&SYSTEM
  ibrav = 0, nat = 5, ntyp = 4
/
ATOMIC_SPECIES
Ag 107.87 Ag.upf
F 19.00 F.upf
O 16.00 O.upf
Re 186.21 Re.upf
CELL_PARAMETERS angstrom
-3.3261 1.6475 -2.1335
-2.4261 -3.3064 1.2291
-1.0421 1.9196 3.1069
ATOMIC_POSITIONS angstrom
Ag -3.3972 0.1303 1.1013
F -1.2131 -1.6532 0.6146
F -1.6631 0.8237 -1.0667
O -0.5210 0.9598 1.5535
Re 0.0000 0.0000 0.0000
! relative energy among the computed polymorphs	0.000	eV/atom
! size of the total moment	0.0	μB per cell
! ΔE_f (raw)	-0.843	eV per atom
! mass density	8.3	g/cm3

=====

[7]
! Ag2RuO2F4, relaxed, DFT GGA-PBE; values from VASP
&SYSTEM
  ibrav = 0, nat = 9, ntyp = 4
/
ATOMIC_SPECIES
F 19.00 F.upf
Ag 107.87 Ag.upf
Ru 101.07 Ru.upf
O 16.00 O.upf
CELL_PARAMETERS angstrom
-1.6066 2.9966 3.5469
1.2696 -2.3207 5.1273
4.5455 2.2319 2.7649
ATOMIC_POSITIONS angstrom
F 1.4936 0.7616 7.5772
F 1.0273 -0.1993 5.0790
F 3.1813 3.1070 6.3601
F 2.7149 2.1461 3.8619
Ag 0.5746 2.1403 4.9213
Ag 3.6339 0.7674 6.5177
Ru -0.8033 1.4983 1.7734
O 3.5517 2.3797 9.5108
O 0.6568 0.5280 1.9283
! size of the total moment	0.0	μB per cell
! ΔE_f (raw)	-1.097	eV per atom
! mass density	5.2	g/cm3

=====

[8]
! Ag2SO2F4, relaxed, DFT GGA-PBE; values from VASP
&SYSTEM
  ibrav = 0, nat = 9, ntyp = 4
/
ATOMIC_SPECIES
F 19.00 F.upf
Ag 107.87 Ag.upf
S 32.06 S.upf
O 16.00 O.upf
CELL_PARAMETERS angstrom
5.0661 0.4256 0.2896
1.5970 5.3322 0.5015
1.5970 2.4243 4.7756
ATOMIC_POSITIONS angstrom
F 2.9672 3.0304 3.7142
F 2.9672 4.5675 1.4549
F 5.2929 3.6146 4.1117
F 5.2929 5.1517 1.8524
Ag 4.7764 2.3225 1.5801
Ag 3.4837 5.8596 3.9865
S 2.5331 0.2128 0.1448
O 6.1626 6.7390 4.5849
O 2.0975 1.4430 0.9818
! size of the total moment	0.0	μB per cell
! ΔE_f (raw)	-1.015	eV per atom
! mass density	5.0	g/cm3